VASP calculation (GGA-PBE) on crystalline Cu2Ag7 at its relaxed geometry.

a = 14.911 Å, b = 2.905 Å, c = 6.982 Å
α = 90.00°, β = 90.60°, γ = 90.00°
Space group C2/m (No. 12)
Inequivalent atoms, fractional coordinates:
Cu 0.172 0.000 0.000 [4 per cell]
Ag 0.000 0.500 0.000 [2 per cell]
Ag 0.057 0.000 0.332 [4 per cell]
Ag 0.113 0.500 0.678 [4 per cell]
Ag 0.222 0.500 0.319 [4 per cell]

## Properties
energy relative to the elements	63	meV per atom

VASP calculation (GGA-PBE) on crystalline CuAg at its relaxed geometry.

a = 2.7925 Å, b = 2.7925 Å, c = 53.4915 Å
α = 90.00°, β = 90.00°, γ = 120.00°
Space group R3m (No. 160, hexagonal axes)
Inequivalent atoms, fractional coordinates:
Cu 0.0000 0.0000 0.0000 [3 per cell]
Cu 0.0000 0.0000 0.1298 [3 per cell]
Cu 0.0000 0.0000 0.2598 [3 per cell]
Cu 0.0000 0.0000 0.6299 [3 per cell]
Ag 0.0000 0.0000 0.3752 [3 per cell]
Ag 0.0000 0.0000 0.5045 [3 per cell]
Ag 0.0000 0.0000 0.7551 [3 per cell]
Ag 0.0000 0.0000 0.8845 [3 per cell]

## Properties
energy relative to the elements	98	meV per atom

VASP calculation (GGA-PBE) on crystalline Cu3Ag2 at its relaxed geometry.

a = 13.963 Å, b = 3.789 Å, c = 5.492 Å
α = 90.00°, β = 101.35°, γ = 90.00°
Space group Cm (No. 8)
Inequivalent atoms, fractional coordinates:
Cu 0.000 0.000 0.000 [2 per cell]
Cu 0.000 0.000 0.499 [2 per cell]
Cu 0.100 0.500 0.801 [2 per cell]
Cu 0.311 0.500 0.915 [2 per cell]
Cu 0.312 0.500 0.396 [2 per cell]
Cu 0.402 0.000 0.201 [2 per cell]
Ag 0.094 0.500 0.296 [2 per cell]
Ag 0.204 0.000 0.606 [2 per cell]
Ag 0.207 0.000 0.101 [2 per cell]
Ag 0.407 0.000 0.704 [2 per cell]

## Properties
energy relative to the elements	97	meV per atom

VASP calculation (GGA-PBE) on crystalline Cu4Ag3 at its relaxed geometry.

a = 11.112 Å, b = 2.810 Å, c = 6.777 Å
α = 90.00°, β = 106.28°, γ = 90.00°
Space group C2/m (No. 12)
Inequivalent atoms, fractional coordinates:
Cu 0.056 0.000 0.190 [4 per cell]
Cu 0.140 0.500 0.939 [4 per cell]
Ag 0.000 0.500 0.500 [2 per cell]
Ag 0.229 0.000 0.669 [4 per cell]

## Properties
energy relative to the elements	86	meV per atom

VASP calculation (GGA-PBE) on crystalline CuAg at its relaxed geometry.

a = 2.845 Å, b = 2.845 Å, c = 18.428 Å
α = 90.00°, β = 90.00°, γ = 90.00°
Space group P4mm (No. 99)
Inequivalent atoms, fractional coordinates:
Cu 0.000 0.000 0.000 [1 per cell]
Cu 0.000 0.000 0.200 [1 per cell]
Cu 0.000 0.000 0.401 [1 per cell]
Cu 0.500 0.500 0.482 [1 per cell]
Cu 0.500 0.500 0.683 [1 per cell]
Ag 0.000 0.000 0.582 [1 per cell]
Ag 0.000 0.000 0.783 [1 per cell]
Ag 0.500 0.500 0.100 [1 per cell]
Ag 0.500 0.500 0.300 [1 per cell]
Ag 0.500 0.500 0.901 [1 per cell]

## Properties
energy relative to the elements	86	meV per atom

VASP calculation (GGA-PBE) on crystalline Cu3Ag7 at its relaxed geometry.

a = 4.038 Å, b = 20.040 Å, c = 3.990 Å
α = 90.00°, β = 90.00°, γ = 90.00°
Space group Cmmm (No. 65)
Inequivalent atoms, fractional coordinates:
Cu 0.000 0.000 0.000 [2 per cell]
Cu 0.000 0.406 0.000 [4 per cell]
Ag 0.000 0.094 0.500 [4 per cell]
Ag 0.000 0.196 0.000 [4 per cell]
Ag 0.000 0.304 0.500 [4 per cell]
Ag 0.000 0.500 0.500 [2 per cell]

## Properties
energy relative to the elements	75	meV per atom

VASP calculation (GGA-PBE) on crystalline CuAg at its relaxed geometry.

a = 9.457 Å, b = 2.847 Å, c = 11.140 Å
α = 90.00°, β = 96.94°, γ = 90.00°
Space group Cm (No. 8)
Inequivalent atoms, fractional coordinates:
Cu 0.000 0.000 0.000 [2 per cell]
Cu 0.039 0.500 0.509 [2 per cell]
Cu 0.125 0.000 0.693 [2 per cell]
Cu 0.197 0.000 0.395 [2 per cell]
Cu 0.331 0.000 0.103 [2 per cell]
Ag 0.121 0.500 0.189 [2 per cell]
Ag 0.209 0.500 0.910 [2 per cell]
Ag 0.324 0.500 0.581 [2 per cell]
Ag 0.411 0.500 0.314 [2 per cell]
Ag 0.422 0.000 0.796 [2 per cell]

## Properties
energy relative to the elements	90	meV per atom

VASP calculation (GGA-PBE) on crystalline CuAg at its relaxed geometry.

a = 19.015 Å, b = 2.800 Å, c = 5.609 Å
α = 90.00°, β = 98.53°, γ = 90.00°
Space group C2/m (No. 12)
Inequivalent atoms, fractional coordinates:
Cu 0.000 0.000 0.000 [2 per cell]
Cu 0.091 0.500 0.276 [4 per cell]
Cu 0.091 0.500 0.815 [4 per cell]
Ag 0.000 0.000 0.500 [2 per cell]
Ag 0.189 0.000 0.593 [4 per cell]
Ag 0.194 0.000 0.099 [4 per cell]

## Properties
energy relative to the elements	78	meV per atom